No. 1
Here is a geometry-optimized Ti5SnP structure from Alexandria via LeMat-Bulk. Energies are from PBE-GGA.

Properties
**Space group**: C2/c, No. 15
**Energy relative to the elements**: -351 meV/atom
**Electronic total energy**: -7.335 eV/atom
**Calculated density**: 5.451 Mg/m³

```
Ti5SnP
1.0
3.370 -3.542 0.000
3.370 3.542 0.000
-2.665 0.000 9.928
Ti Sn P
10 2 2
Direct
0.010 0.990 0.750
0.062 0.480 0.627
0.209 0.488 0.929
0.480 0.062 0.127
0.488 0.209 0.429
0.512 0.791 0.571
0.520 0.938 0.873
0.791 0.512 0.071
0.938 0.520 0.373
0.990 0.010 0.250
0.395 0.605 0.250
0.605 0.395 0.750
0.000 0.000 0.000
0.000 0.000 0.500
```


No. 2
Here is a geometry-optimized TiSnP2 structure from Alexandria via LeMat-Bulk. Energies are from PBE-GGA.

Properties
**Space group**: I-42d, No. 122
**Energy relative to the elements**: -199 meV/atom
**Electronic total energy**: -5.878 eV/atom
**Calculated density**: 3.777 Mg/m³

```
TiSnP2
1.0
-2.954 2.954 5.756
2.954 -2.954 5.756
2.954 2.954 -5.756
Ti Sn P
2 2 4
Direct
0.000 0.000 0.000
0.750 0.250 0.500
0.250 0.750 0.500
0.500 0.500 0.000
0.084 0.625 0.959
0.375 0.334 0.459
0.666 0.125 0.041
0.875 0.916 0.541
```


No. 3
Here is a geometry-optimized TiSn3P structure from Alexandria via LeMat-Bulk. Energies are from PBE-GGA.

Properties
**Distance to the lowest polymorph of the same formula**: 0 meV/atom
**Space group**: Pm-3m, No. 221
**Energy relative to the elements**: 662 meV/atom
**Electronic total energy**: -4.401 eV/atom
**Calculated density**: 4.920 Mg/m³

```
TiSn3P
1.0
5.275 0.000 0.000
0.000 5.275 0.000
0.000 0.000 5.275
Ti Sn P
1 3 1
Direct
0.000 0.000 0.000
0.000 0.000 0.500
0.000 0.500 0.000
0.500 0.000 0.000
0.500 0.500 0.500
```


No. 4
Here is a geometry-optimized Ti2SnP2 structure from Alexandria via LeMat-Bulk. Energies are from PBE-GGA.

Properties
**Distance to the lowest polymorph of the same formula**: 79 meV/atom
**Space group**: P4/mbm, No. 127
**Energy relative to the elements**: -511 meV/atom
**Electronic total energy**: -6.634 eV/atom
**Calculated density**: 5.541 Mg/m³

```
Ti2SnP2
1.0
7.139 0.000 0.000
0.000 7.139 0.000
0.000 0.000 3.251
Ti Sn P
4 2 4
Direct
0.149 0.351 0.000
0.351 0.851 0.000
0.649 0.149 0.000
0.851 0.649 0.000
0.000 0.000 0.500
0.500 0.500 0.500
0.134 0.634 0.500
0.366 0.134 0.500
0.634 0.866 0.500
0.866 0.366 0.500
```


No. 5
Here is a geometry-optimized Ti6SnP structure from Alexandria via LeMat-Bulk. Energies are from PBE-GGA.

Properties
**Space group**: R-3m, No. 166
**Energy relative to the elements**: -247 meV/atom
**Electronic total energy**: -7.345 eV/atom
**Calculated density**: 4.901 Mg/m³

```
Ti6SnP
1.0
4.359 2.517 2.249
-4.359 2.517 2.249
0.000 -5.033 2.249
Ti Sn P
6 1 1
Direct
0.217 0.217 0.646
0.217 0.646 0.217
0.354 0.783 0.783
0.646 0.217 0.217
0.783 0.354 0.783
0.783 0.783 0.354
0.000 0.000 0.000
0.500 0.500 0.500
```


No. 6
Here is a geometry-optimized Ti2SnP2 structure from Alexandria via LeMat-Bulk. Energies are from PBE-GGA.

Properties
**Distance to the lowest polymorph of the same formula**: 38 meV/atom
**Space group**: P4/mbm, No. 127
**Energy relative to the elements**: -551 meV/atom
**Electronic total energy**: -6.674 eV/atom
**Calculated density**: 5.493 Mg/m³

```
Ti2SnP2
1.0
7.162 0.000 0.000
0.000 7.162 0.000
0.000 0.000 3.258
Ti Sn P
4 2 4
Direct
0.145 0.355 0.000
0.355 0.855 0.000
0.645 0.145 0.000
0.855 0.645 0.000
0.000 0.000 0.000
0.500 0.500 0.000
0.141 0.641 0.500
0.359 0.141 0.500
0.641 0.859 0.500
0.859 0.359 0.500
```


No. 7
Here is a geometry-optimized Ti3SnP structure from Alexandria via LeMat-Bulk. Energies are from PBE-GGA.

Properties
**Distance to the lowest polymorph of the same formula**: 39 meV/atom
**Space group**: Pm-3m, No. 221
**Energy relative to the elements**: -380 meV/atom
**Electronic total energy**: -6.999 eV/atom
**Calculated density**: 5.112 Mg/m³

```
Ti3SnP
1.0
4.567 0.000 0.000
0.000 4.567 0.000
0.000 0.000 4.567
Ti Sn P
3 1 1
Direct
0.000 0.000 0.500
0.000 0.500 0.000
0.500 0.000 0.000
0.500 0.500 0.500
0.000 0.000 0.000
```


No. 8
Here is a geometry-optimized TiSn3P structure from Alexandria via LeMat-Bulk. Energies are from PBE-GGA.

Properties
**Distance to the lowest polymorph of the same formula**: 92 meV/atom
**Space group**: Pm-3m, No. 221
**Energy relative to the elements**: 754 meV/atom
**Electronic total energy**: -4.308 eV/atom
**Calculated density**: 5.384 Mg/m³

```
TiSn3P
1.0
5.119 0.000 0.000
0.000 5.119 0.000
0.000 0.000 5.119
Ti Sn P
1 3 1
Direct
0.000 0.000 0.000
0.000 0.500 0.500
0.500 0.000 0.500
0.500 0.500 0.000
0.500 0.500 0.500
```


No. 9
Here is a geometry-optimized Ti2SnP2 structure from Alexandria via LeMat-Bulk. Energies are from PBE-GGA.

Properties
**Distance to the lowest polymorph of the same formula**: 0 meV/atom
**Space group**: I4/mmm, No. 139
**Energy relative to the elements**: -590 meV/atom
**Electronic total energy**: -6.712 eV/atom
**Calculated density**: 5.481 Mg/m³

```
Ti2SnP2
1.0
-1.745 1.745 6.871
1.745 -1.745 6.871
1.745 1.745 -6.871
Ti Sn P
2 1 2
Direct
0.119 0.119 0.000
0.881 0.881 0.000
0.500 0.500 0.000
0.250 0.750 0.500
0.750 0.250 0.500
```


No. 10
Here is a geometry-optimized Ti3SnP structure from Alexandria via LeMat-Bulk. Energies are from PBE-GGA.

Properties
**Distance to the lowest polymorph of the same formula**: 0 meV/atom
**Space group**: C2/m, No. 12
**Energy relative to the elements**: -419 meV/atom
**Electronic total energy**: -7.039 eV/atom
**Calculated density**: 5.066 Mg/m³

```
Ti3SnP
1.0
5.983 -2.360 0.000
5.983 2.360 0.000
-0.854 0.000 6.809
Ti Sn P
6 2 2
Direct
0.036 0.036 0.298
0.164 0.164 0.973
0.285 0.285 0.352
0.715 0.715 0.648
0.836 0.836 0.027
0.964 0.964 0.702
0.380 0.380 0.830
0.620 0.620 0.170
0.152 0.152 0.611
0.848 0.848 0.389
```


No. 11
Here is a geometry-optimized Ti2Sn2P structure from Alexandria via LeMat-Bulk. Energies are from PBE-GGA.

Properties
**Space group**: P4/mbm, No. 127
**Energy relative to the elements**: -398 meV/atom
**Electronic total energy**: -6.239 eV/atom
**Calculated density**: 6.266 Mg/m³

```
Ti2Sn2P
1.0
6.546 0.000 0.000
0.000 6.546 0.000
0.000 0.000 4.504
Ti Sn P
4 4 2
Direct
0.161 0.339 0.000
0.339 0.839 0.000
0.661 0.161 0.000
0.839 0.661 0.000
0.158 0.658 0.500
0.342 0.158 0.500
0.658 0.842 0.500
0.842 0.342 0.500
0.000 0.000 0.000
0.500 0.500 0.000
```


No. 12
Here is a geometry-optimized Ti3SnP structure from Alexandria via LeMat-Bulk. Energies are from PBE-GGA.

Properties
**Distance to the lowest polymorph of the same formula**: 1525 meV/atom
**Space group**: Pm-3m, No. 221
**Energy relative to the elements**: 1106 meV/atom
**Electronic total energy**: -5.513 eV/atom
**Calculated density**: 3.787 Mg/m³

```
Ti3SnP
1.0
5.047 0.000 0.000
0.000 5.047 0.000
0.000 0.000 5.047
Ti Sn P
3 1 1
Direct
0.000 0.000 0.500
0.000 0.500 0.000
0.500 0.000 0.000
0.000 0.000 0.000
0.500 0.500 0.500
```


The evaluated total magnetization for the records listed, in turn: 0.57 0.00 0.00 0.00 0.00 0.00 0.93 0.00 0.00 0.00 0.00 4.87 Bohr magnetons per cell.